# 1
The following is a PBE calculation of an optimized crystal structure of La3Ho6ErTh2, from the Alexandria database.

Summary:
Its volume is 389.05 Å³/cell. The calculated formation energy is 0.02 eV/atom. The value obtained for the total energy is -5.119 eV per atom.

```
La3Ho6ErTh2
1.0
6.213 0.000 0.006
-3.105 5.382 0.006
-1.049 -1.817 11.631
La Ho Er Th
3 6 1 2
Direct
0.166 0.834 0.500 La
0.834 0.166 0.500 La
0.500 0.500 0.500 La
0.919 0.582 0.757 Ho
0.744 0.744 0.243 Ho
0.081 0.418 0.243 Ho
0.582 0.919 0.757 Ho
0.256 0.256 0.757 Ho
0.418 0.081 0.243 Ho
0.000 0.000 0.000 Er
0.333 0.667 0.000 Th
0.667 0.333 0.000 Th
```

=====

# 2
The following is a PBE calculation of an optimized crystal structure of La2HoErTl2, from the Alexandria database.

Summary:
Its volume is 363.56 Å³/cell. The calculated formation energy is -0.28 eV/atom. The value obtained for the total energy is -4.237 eV per atom.

```
La2HoErTl2
1.0
5.088 0.000 0.000
0.000 6.958 0.000
0.000 0.000 10.269
La Ho Er Tl
4 2 2 4
Direct
0.500 0.090 0.061 La
0.000 0.311 0.179 La
0.500 0.590 0.939 La
0.000 0.811 0.821 La
0.000 0.958 0.458 Ho
0.000 0.458 0.542 Ho
0.500 0.169 0.692 Er
0.500 0.669 0.308 Er
0.000 0.298 0.849 Tl
0.500 0.220 0.391 Tl
0.000 0.798 0.151 Tl
0.500 0.720 0.609 Tl
```

=====

# 3
The following is a PBE calculation of an optimized crystal structure of LaHoEr2Tl4, from the Alexandria database.

Summary:
Its volume is 225.32 Å³/cell. The calculated formation energy is -0.34 eV/atom. The value obtained for the total energy is -3.849 eV per atom.

```
LaHoEr2Tl4
1.0
-2.088 -0.134 -4.986
2.956 -1.879 -4.119
-2.808 -8.875 -1.516
La Ho Er Tl
1 1 2 4
Direct
0.000 0.000 0.000 La
0.500 0.500 0.500 Ho
0.751 0.751 0.747 Er
0.249 0.249 0.253 Er
0.378 0.378 0.866 Tl
0.873 0.873 0.382 Tl
0.127 0.127 0.618 Tl
0.622 0.622 0.134 Tl
```

=====

# 4
The following is a PBE calculation of an optimized crystal structure of La3Ho2ErTm6, from the Alexandria database.

Summary:
Its volume is 381.57 Å³/cell. The calculated formation energy is 0.03 eV/atom. The value obtained for the total energy is -4.582 eV per atom.

```
La3Ho2ErTm6
1.0
-5.089 -0.879 3.389
4.817 -3.817 0.616
4.422 8.364 6.935
La Ho Er Tm
3 2 1 6
Direct
0.167 0.833 0.500 La
0.833 0.167 0.500 La
0.500 0.500 0.500 La
0.333 0.667 0.000 Ho
0.667 0.333 0.000 Ho
0.000 0.000 0.000 Er
0.919 0.586 0.756 Tm
0.748 0.748 0.244 Tm
0.081 0.414 0.244 Tm
0.586 0.919 0.756 Tm
0.252 0.252 0.756 Tm
0.414 0.081 0.244 Tm
```

=====

# 5
The following is a PBE calculation of an optimized crystal structure of La4HoErTm2, from the Alexandria database.

Summary:
Its volume is 268.67 Å³/cell. The calculated formation energy is 0.03 eV/atom. The value obtained for the total energy is -4.694 eV per atom.

```
La4HoErTm2
1.0
-4.991 -0.923 1.347
1.538 -4.067 2.914
2.531 1.840 10.638
La Ho Er Tm
4 1 1 2
Direct
0.000 0.750 0.750 La
0.000 0.250 0.250 La
0.500 0.749 0.250 La
0.500 0.251 0.750 La
0.500 0.500 0.000 Ho
0.000 0.500 0.500 Er
0.000 0.000 0.000 Tm
0.500 0.000 0.500 Tm
```

=====

# 6
The following is a PBE calculation of an optimized crystal structure of LaHoEr2Tm, from the Alexandria database.

Summary:
Its volume is 345.49 Å³/cell. The calculated formation energy is 0.36 eV/atom. The value obtained for the total energy is -4.256 eV per atom.

```
LaHoEr2Tm
1.0
-4.931 -4.125 -3.250
1.678 -6.221 5.351
-4.852 5.097 0.893
La Ho Er Tm
2 2 4 2
Direct
0.250 0.734 0.467 La
0.750 0.266 0.533 La
0.250 0.004 0.009 Ho
0.750 0.996 0.991 Ho
0.500 0.310 0.000 Er
0.000 0.690 0.000 Er
0.500 0.690 0.000 Er
0.000 0.310 0.000 Er
0.750 0.716 0.432 Tm
0.250 0.284 0.568 Tm
```

=====

# 7
The following is a PBE calculation of an optimized crystal structure of La2Ho4ErTm, from the Alexandria database.

Summary:
Its volume is 517.85 Å³/cell. The calculated formation energy is 0.03 eV/atom. The value obtained for the total energy is -4.617 eV per atom.

```
La2Ho4ErTm
1.0
-4.433 -8.668 2.936
7.246 -1.404 6.785
-7.753 8.297 -4.813
La Ho Er Tm
4 8 2 2
Direct
0.500 0.000 0.000 La
0.500 0.000 0.500 La
0.000 0.000 0.500 La
0.500 0.500 0.000 La
0.247 0.755 0.001 Ho
0.754 0.262 0.508 Ho
0.246 0.738 0.492 Ho
0.753 0.245 0.000 Ho
0.754 0.755 0.000 Ho
0.754 0.754 0.508 Ho
0.246 0.246 0.492 Ho
0.246 0.245 0.000 Ho
0.000 0.500 0.000 Er
0.000 0.500 0.500 Er
0.500 0.500 0.500 Tm
0.000 0.000 0.000 Tm
```

=====

# 8
The following is a PBE calculation of an optimized crystal structure of LaHoErTm3, from the Alexandria database.

Summary:
Its volume is 382.79 Å³/cell. The calculated formation energy is 0.12 eV/atom. The value obtained for the total energy is -4.460 eV per atom.

```
LaHoErTm3
1.0
5.705 0.000 0.000
-2.853 5.907 0.000
0.000 0.000 11.358
La Ho Er Tm
2 2 2 6
Direct
0.516 0.032 0.750 La
0.484 0.968 0.250 La
0.000 0.000 0.500 Ho
0.000 0.000 0.000 Ho
0.826 0.651 0.750 Er
0.174 0.349 0.250 Er
0.676 0.352 0.487 Tm
0.324 0.648 0.513 Tm
0.324 0.648 0.987 Tm
0.676 0.352 0.013 Tm
0.160 0.321 0.750 Tm
0.840 0.679 0.250 Tm
```

=====

Q: Number 6 is which compound?
A: LaHoEr2Tm